KBiSeF2: relaxed, PBE.

Cell: 4.6599 4.6599 5.9512 Å, 90.00 90.00 90.00°
Closest atoms and distances in Å follow each position.
Space group P4mm (No. 99)
Inequivalent atoms, fractional coordinates:
K 0.0000 0.0000 0.0000  4 F 3.07, 4 Se 3.43
Bi 0.5000 0.5000 0.4068  4 F 2.37, 1 Se 2.59
Se 0.5000 0.5000 0.8417  1 Bi 2.59
F 0.0000 0.5000 0.3372  2 Bi 2.37

Values from the calculation:
- E: -0.1555 hartree per atom
- Fermi-level density of states: 0.00 states/eV/cell

KSr2BiF: relaxed, PBE.

Cell: 5.4045 5.4045 5.3216 Å, 90.00 90.00 90.00°
Closest atoms and distances in Å follow each position.
Space group P4/mmm (No. 123)
Inequivalent atoms, fractional coordinates:
K 0.0000 0.0000 0.0000  2 F 2.66
Sr 0.0000 0.5000 0.5000  2 F 2.70
Bi 0.5000 0.5000 0.0000  8 Sr 3.79, 4 K 3.82
F 0.0000 0.0000 0.5000  2 K 2.66, 4 Sr 2.70

Values from the calculation:
- E: -0.1252 hartree per atom
- Fermi-level density of states: 3.22 states/eV/cell

K2TaBiF: relaxed, PBE.

Cell: 7.0762 7.0762 5.3371 Å, 90.00 90.00 90.00°
Closest atoms and distances in Å follow each position.
Space group P4/mmm (No. 123)
Inequivalent atoms, fractional coordinates:
K 0.0000 0.5000 0.0000  2 Ta 3.54
Ta 0.0000 0.0000 0.0000  2 Bi 2.67
Bi 0.0000 0.0000 0.5000  2 Ta 2.67
F 0.5000 0.5000 0.5000  8 K 4.43

Values from the calculation:
- E: -0.1342 hartree per atom
- Fermi-level density of states: 0.00 states/eV/cell

KBi2TeF: relaxed, PBE.

Cell: 6.0985 6.0985 4.4223 Å, 90.00 90.00 90.00°
Closest atoms and distances in Å follow each position.
Space group P4/mmm (No. 123)
Inequivalent atoms, fractional coordinates:
K 0.0000 0.0000 0.0000  2 F 2.21
Bi 0.0000 0.5000 0.0000  2 K 3.05
Te 0.5000 0.5000 0.5000  8 Bi 3.77
F 0.0000 0.0000 0.5000  2 K 2.21

Values from the calculation:
- E: -0.1026 hartree per atom
- Fermi-level density of states: 6.43 states/eV/cell

Formation energy from raw total energies per entry: -1.790; -1.365; 0.309; -0.017 eV per atom